Material: CuSi5
Method: DFT, meta-GGA SCAN
State: single point on PBEsol structure

abc: 4.7553 4.7553 4.6713
angles: 90.00 90.00 120.00
Element x y z (fractional)
Cu1 0.0000 0.0000 0.0000
Si1 0.0000 0.5000 0.5000
Si2 0.3333 0.6667 0.0000
Si3 0.5000 0.0000 0.5000
Si4 0.5000 0.5000 0.5000
Si5 0.6667 0.3333 0.0000

Values from the calculation:
Its offset from the most stable computed form is 0.2643 eV per atom. Its raw formation energy is 0.74 eV/atom. Its space group is P6/mmm. The calculated volume comes out at 15.2 A^3/atom.

***

Material: InPPdCl2
Method: DFT, meta-GGA SCAN
State: single point on PBEsol structure

abc: 5.0248 5.0248 4.4977
angles: 90.00 90.00 90.00
Element x y z (fractional)
In1 0.0000 0.0000 0.0000
P1 0.5000 0.5000 0.0000
Pd1 0.5000 0.5000 0.5000
Cl1 0.0000 0.5000 0.5000
Cl2 0.5000 0.0000 0.5000

Values from the calculation:
Its raw formation energy is -0.09 eV/atom. Its space group is P4/mmm. The calculated volume comes out at 22.7 A^3/atom.

***

Material: BaHgAu2
Method: DFT, meta-GGA SCAN
State: single point on PBEsol structure

abc: 8.2969 4.8449 5.9445
angles: 90.00 118.14 90.00
Element x y z (fractional)
Ba1 0.0000 0.0000 0.0000
Ba2 0.5000 0.5000 0.0000
Hg1 0.0000 0.5000 0.5000
Hg2 0.5000 0.0000 0.5000
Au1 0.2078 0.0000 0.6272
Au2 0.2922 0.5000 0.3728
Au3 0.7078 0.5000 0.6272
Au4 0.7922 0.0000 0.3728

Values from the calculation:
Its space group is C2/m. For the formation energy, the calculation gives -0.617 eV/atom. The calculated volume comes out at 26.3 A^3/atom.

***

Material: LaY2Mg
Method: DFT, meta-GGA SCAN
State: single point on PBEsol structure

abc: 3.7553 5.5689 5.7165
angles: 90.00 90.00 90.00
Element x y z (fractional)
La1 0.0000 0.0000 0.0000
Y1 0.0000 0.5000 0.5000
Y2 0.5000 0.5000 0.0000
Mg1 0.5000 0.0000 0.5000

Values from the calculation:
Its space group is Pmmm. For the formation energy, the calculation gives 0.024 eV/atom. The calculated volume comes out at 29.9 A^3/atom.

***

Material: RbLiNi2Au
Method: DFT, meta-GGA SCAN
State: single point on PBEsol structure

abc: 4.8060 4.8060 4.8369
angles: 90.00 90.00 90.00
Element x y z (fractional)
Rb1 0.0000 0.0000 0.0000
Li1 0.5000 0.5000 0.0000
Ni1 0.0000 0.5000 0.5000
Ni2 0.5000 0.0000 0.5000
Au1 0.5000 0.5000 0.5000

Values from the calculation:
Its space group is P4/mmm. For the formation energy, the calculation gives 0.372 eV/atom. The calculated volume comes out at 22.3 A^3/atom.

***

Material: ScSb2Rh
Method: DFT, meta-GGA SCAN
State: single point on PBEsol structure

abc: 3.1700 4.2174 6.0970
angles: 90.00 92.35 90.00
Element x y z (fractional)
Sc1 0.0000 0.0000 0.0000
Sb1 0.4451 0.5000 0.7492
Sb2 0.5549 0.5000 0.2508
Rh1 0.5000 0.0000 0.5000

Values from the calculation:
Its raw formation energy is -0.49 eV/atom. Its space group is P2/m. The calculated volume comes out at 20.4 A^3/atom.

***

Material: Ho3Ga5O12
Method: DFT, meta-GGA SCAN
State: single point on PBEsol structure

abc: 10.5840 10.5840 10.5840
angles: 109.47 109.47 109.47
Element x y z (fractional)
Ho1 0.1250 0.2500 0.3750
Ho2 0.1250 0.3750 0.7500
Ho3 0.2500 0.3750 0.1250
Ho4 0.2500 0.8750 0.6250
Ho5 0.3750 0.1250 0.2500
Ho6 0.3750 0.7500 0.1250
Ho7 0.6250 0.2500 0.8750
Ho8 0.6250 0.8750 0.7500
Ho9 0.7500 0.1250 0.3750
Ho10 0.7500 0.6250 0.8750
Ho11 0.8750 0.6250 0.2500
Ho12 0.8750 0.7500 0.6250
Ga1 0.0000 0.0000 0.0000
Ga2 0.0000 0.0000 0.5000
Ga3 0.0000 0.5000 0.0000
Ga4 0.0000 0.5000 0.5000
Ga5 0.1250 0.7500 0.8750
Ga6 0.1250 0.8750 0.2500
Ga7 0.2500 0.1250 0.8750
Ga8 0.2500 0.6250 0.3750
Ga9 0.3750 0.2500 0.6250
Ga10 0.3750 0.6250 0.7500
Ga11 0.5000 0.0000 0.0000
Ga12 0.5000 0.0000 0.5000
Ga13 0.5000 0.5000 0.0000
Ga14 0.5000 0.5000 0.5000
Ga15 0.6250 0.3750 0.2500
Ga16 0.6250 0.7500 0.3750
Ga17 0.7500 0.3750 0.6250
Ga18 0.7500 0.8750 0.1250
Ga19 0.8750 0.1250 0.7500
Ga20 0.8750 0.2500 0.1250
O1 0.0303 0.2074 0.1236
O2 0.0303 0.3229 0.9067
O3 0.0838 0.7074 0.6771
O4 0.0838 0.8764 0.4067
O5 0.0933 0.6236 0.4162
O6 0.0933 0.9697 0.6771
O7 0.1236 0.0303 0.2074
O8 0.1236 0.5933 0.9162
O9 0.1771 0.2074 0.5838
O10 0.1771 0.4697 0.5933
O11 0.2074 0.1236 0.0303
O12 0.2074 0.5838 0.1771
O13 0.2926 0.3229 0.9162
O14 0.2926 0.4697 0.3764
O15 0.3229 0.9067 0.0303
O16 0.3229 0.9162 0.2926
O17 0.3764 0.2926 0.4697
O18 0.3764 0.5838 0.9067
O19 0.4067 0.0838 0.8764
O20 0.4067 0.8229 0.5303
O21 0.4162 0.0933 0.6236
O22 0.4162 0.8229 0.7926
O23 0.4697 0.3764 0.2926
O24 0.4697 0.5933 0.1771
O25 0.5303 0.4067 0.8229
O26 0.5303 0.6236 0.7074
O27 0.5838 0.1771 0.2074
O28 0.5838 0.9067 0.3764
O29 0.5933 0.1771 0.4697
O30 0.5933 0.9162 0.1236
O31 0.6236 0.4162 0.0933
O32 0.6236 0.7074 0.5303
O33 0.6771 0.0838 0.7074
O34 0.6771 0.0933 0.9697
O35 0.7074 0.5303 0.6236
O36 0.7074 0.6771 0.0838
O37 0.7926 0.4162 0.8229
O38 0.7926 0.8764 0.9697
O39 0.8229 0.5303 0.4067
O40 0.8229 0.7926 0.4162
O41 0.8764 0.4067 0.0838
O42 0.8764 0.9697 0.7926
O43 0.9067 0.0303 0.3229
O44 0.9067 0.3764 0.5838
O45 0.9162 0.1236 0.5933
O46 0.9162 0.2926 0.3229
O47 0.9697 0.6771 0.0933
O48 0.9697 0.7926 0.8764

Values from the calculation:
Its raw formation energy is -2.83 eV/atom. Its space group is Ia-3d. The calculated volume comes out at 11.4 A^3/atom.

***

Material: ScTl2TcSb
Method: DFT, meta-GGA SCAN
State: single point on PBEsol structure

abc: 5.5434 5.5434 5.3149
angles: 90.00 90.00 90.00
Element x y z (fractional)
Sc1 0.0000 0.0000 0.0000
Tl1 0.0000 0.5000 0.5000
Tl2 0.5000 0.0000 0.5000
Tc1 0.5000 0.5000 0.0000
Sb1 0.0000 0.0000 0.5000

Values from the calculation:
Its raw formation energy is 1.21 eV/atom. Its space group is P4/mmm. The calculated volume comes out at 32.7 A^3/atom.

***

Material: Sr2Be2B2O7
Method: DFT, meta-GGA SCAN
State: single point on PBEsol structure

abc: 4.6852 4.6852 15.4087
angles: 90.00 90.00 120.00
Element x y z (fractional)
Sr1 0.0000 0.0000 0.0000
Sr2 0.0000 0.0000 0.2500
Sr3 0.0000 0.0000 0.5000
Sr4 0.0000 0.0000 0.7500
Be1 0.6667 0.3333 0.1020
Be2 0.6667 0.3333 0.3980
Be3 0.6667 0.3333 0.6020
Be4 0.6667 0.3333 0.8980
B1 0.3333 0.6667 0.1357
B2 0.3333 0.6667 0.3643
B3 0.3333 0.6667 0.6357
B4 0.3333 0.6667 0.8643
O1 0.0242 0.3895 0.1367
O2 0.0242 0.3895 0.3633
O3 0.0242 0.6347 0.6367
O4 0.0242 0.6347 0.8633
O5 0.3653 0.3895 0.6367
O6 0.3653 0.3895 0.8633
O7 0.3653 0.9758 0.1367
O8 0.3653 0.9758 0.3633
O9 0.6105 0.6347 0.1367
O10 0.6105 0.6347 0.3633
O11 0.6105 0.9758 0.6367
O12 0.6105 0.9758 0.8633
O13 0.6667 0.3333 0.0000
O14 0.6667 0.3333 0.5000

Values from the calculation:
Its raw formation energy is -3.05 eV/atom. Its space group is P-6c2. The calculated volume comes out at 11.3 A^3/atom.

***

Material: CdAgAu2
Method: DFT, meta-GGA SCAN
State: single point on PBEsol structure

abc: 9.5612 2.9791 4.9762
angles: 90.00 101.21 90.00
Element x y z (fractional)
Cd1 0.0000 0.0000 0.0000
Cd2 0.5000 0.5000 0.0000
Ag1 0.0000 0.5000 0.5000
Ag2 0.5000 0.0000 0.5000
Au1 0.2495 0.0000 0.7474
Au2 0.2505 0.5000 0.2526
Au3 0.7505 0.0000 0.2526
Au4 0.7495 0.5000 0.7474

Values from the calculation:
Its space group is C2/m. For the formation energy, the calculation gives -0.114 eV/atom. The calculated volume comes out at 17.4 A^3/atom.

***

Material: CaMnSi2O6
Method: DFT, meta-GGA SCAN
State: single point on PBEsol structure

abc: 6.7286 6.7286 5.2794
angles: 101.08 101.08 84.67
Element x y z (fractional)
Ca1 0.1990 0.8010 0.7500
Ca2 0.8010 0.1990 0.2500
Mn1 0.4046 0.5954 0.2500
Mn2 0.5954 0.4046 0.7500
Si1 0.1199 0.3058 0.7634
Si2 0.3058 0.1199 0.2634
Si3 0.6942 0.8801 0.7366
Si4 0.8801 0.6942 0.2366
O1 0.1100 0.6166 0.3304
O2 0.1305 0.1704 0.0027
O3 0.1704 0.1305 0.5027
O4 0.2878 0.4743 0.8479
O5 0.3834 0.8900 0.1696
O6 0.4743 0.2878 0.3479
O7 0.5257 0.7122 0.6521
O8 0.6166 0.1100 0.8304
O9 0.7122 0.5257 0.1521
O10 0.8296 0.8695 0.4973
O11 0.8695 0.8296 0.9973
O12 0.8900 0.3834 0.6696

Values from the calculation:
Its raw formation energy is -2.98 eV/atom. Its space group is C2/c. The calculated volume comes out at 11.5 A^3/atom.

***

Material: ZnSi2Tc
Method: DFT, meta-GGA SCAN
State: single point on PBEsol structure

abc: 3.2446 3.2446 5.0222
angles: 90.00 90.00 90.00
Element x y z (fractional)
Zn1 0.0000 0.0000 0.0000
Si1 0.0000 0.0000 0.4949
Si2 0.5000 0.5000 0.2218
Tc1 0.5000 0.5000 0.7101

Values from the calculation:
Its offset from the most stable computed form is 0.0000 eV per atom. Its raw formation energy is -0.09 eV/atom. Its space group is P4mm. The calculated volume comes out at 13.2 A^3/atom.

***

Material: FeCoSeBr2
Method: DFT, meta-GGA SCAN
State: single point on PBEsol structure

abc: 4.8000 4.8000 4.5309
angles: 90.00 90.00 90.00
Element x y z (fractional)
Fe1 0.0000 0.0000 0.0000
Co1 0.5000 0.5000 0.5000
Se1 0.5000 0.5000 0.0000
Br1 0.0000 0.5000 0.5000
Br2 0.5000 0.0000 0.5000

Values from the calculation:
Its raw formation energy is 0.38 eV/atom. Its space group is P4/mmm. The calculated volume comes out at 20.9 A^3/atom.

***

Material: YCdAg
Method: DFT, meta-GGA SCAN
State: single point on PBEsol structure

abc: 3.6350 3.6350 9.8662
angles: 90.00 90.00 90.00
Element x y z (fractional)
Y1 0.0000 0.0000 0.0000
Y2 0.5000 0.5000 0.5000
Cd1 0.0000 0.0000 0.6821
Cd2 0.5000 0.5000 0.1821
Ag1 0.0000 0.0000 0.3245
Ag2 0.5000 0.5000 0.8245

Values from the calculation:
Its space group is I4mm. For the formation energy, the calculation gives -0.324 eV/atom. The calculated volume comes out at 21.7 A^3/atom.

***

Material: Pd2RhW
Method: DFT, meta-GGA SCAN
State: single point on PBEsol structure

abc: 6.1499 6.1499 6.1499
angles: 90.00 90.00 90.00
Element x y z (fractional)
Pd1 0.2500 0.2500 0.2500
Pd2 0.2500 0.2500 0.7500
Pd3 0.2500 0.7500 0.2500
Pd4 0.2500 0.7500 0.7500
Pd5 0.7500 0.2500 0.2500
Pd6 0.7500 0.2500 0.7500
Pd7 0.7500 0.7500 0.2500
Pd8 0.7500 0.7500 0.7500
Rh1 0.0000 0.0000 0.0000
Rh2 0.0000 0.5000 0.5000
Rh3 0.5000 0.0000 0.5000
Rh4 0.5000 0.5000 0.0000
W1 0.0000 0.0000 0.5000
W2 0.0000 0.5000 0.0000
W3 0.5000 0.0000 0.0000
W4 0.5000 0.5000 0.5000

Values from the calculation:
Its space group is Fm-3m. For the formation energy, the calculation gives 0.290 eV/atom. The calculated volume comes out at 14.5 A^3/atom.

***

Material: InS2BrN
Method: DFT, meta-GGA SCAN
State: single point on PBEsol structure

abc: 5.0865 5.0865 4.1887
angles: 90.00 90.00 90.00
Element x y z (fractional)
In1 0.0000 0.0000 0.0000
S1 0.0000 0.5000 0.0000
S2 0.5000 0.0000 0.0000
Br1 0.5000 0.5000 0.5000
N1 0.0000 0.0000 0.5000

Values from the calculation:
Its raw formation energy is 1.00 eV/atom. Its space group is P4/mmm. The calculated volume comes out at 21.7 A^3/atom.

***

Material: ScNi3Te
Method: DFT, meta-GGA SCAN
State: single point on PBEsol structure

abc: 4.4280 4.4280 4.4280
angles: 90.00 90.00 90.00
Element x y z (fractional)
Sc1 0.0000 0.0000 0.0000
Ni1 0.0000 0.0000 0.5000
Ni2 0.0000 0.5000 0.0000
Ni3 0.5000 0.0000 0.0000
Te1 0.5000 0.5000 0.5000

Values from the calculation:
Its raw formation energy is 0.96 eV/atom. Its space group is Pm-3m. The calculated volume comes out at 17.4 A^3/atom.

***

Material: MnAlPt2
Method: DFT, meta-GGA SCAN
State: single point on PBEsol structure

abc: 5.6188 7.1242 2.8328
angles: 90.00 90.00 90.00
Element x y z (fractional)
Mn1 0.0000 0.0000 0.0000
Mn2 0.5000 0.5000 0.0000
Al1 0.0000 0.5000 0.0000
Al2 0.5000 0.0000 0.0000
Pt1 0.2500 0.2500 0.5000
Pt2 0.2500 0.7500 0.5000
Pt3 0.7500 0.2500 0.5000
Pt4 0.7500 0.7500 0.5000

Values from the calculation:
Its space group is Cmmm. For the formation energy, the calculation gives -1.032 eV/atom. The calculated volume comes out at 14.2 A^3/atom.

***

Material: PuAl3
Method: DFT, meta-GGA SCAN
State: single point on PBEsol structure

abc: 7.9159 7.9159 7.9159
angles: 44.54 44.54 44.54
Element x y z (fractional)
Pu1 0.0000 0.0000 0.0000
Pu2 0.2219 0.2219 0.2219
Pu3 0.7781 0.7781 0.7781
Al1 0.0000 0.5000 0.5000
Al2 0.2370 0.7137 0.7137
Al3 0.2863 0.2863 0.7630
Al4 0.2863 0.7630 0.2863
Al5 0.5000 0.0000 0.5000
Al6 0.5000 0.5000 0.0000
Al7 0.7137 0.2370 0.7137
Al8 0.7137 0.7137 0.2370
Al9 0.7630 0.2863 0.2863

Values from the calculation:
Its space group is R-3m. For the formation energy, the calculation gives -0.226 eV/atom. The calculated volume comes out at 18.5 A^3/atom.

***

Material: NbCoSi2Hg
Method: DFT, meta-GGA SCAN
State: single point on PBEsol structure

abc: 4.8773 4.8773 4.4572
angles: 90.00 90.00 90.00
Element x y z (fractional)
Nb1 0.0000 0.0000 0.0000
Co1 0.0000 0.0000 0.5000
Si1 0.0000 0.5000 0.0000
Si2 0.5000 0.0000 0.0000
Hg1 0.5000 0.5000 0.5000

Values from the calculation:
Its raw formation energy is 1.12 eV/atom. Its space group is P4/mmm. The calculated volume comes out at 21.2 A^3/atom.

***

Material: FePdCl3
Method: DFT, meta-GGA SCAN
State: single point on PBEsol structure

abc: 4.6285 4.6285 4.6285
angles: 90.00 90.00 90.00
Element x y z (fractional)
Fe1 0.0000 0.0000 0.0000
Pd1 0.5000 0.5000 0.5000
Cl1 0.0000 0.0000 0.5000
Cl2 0.0000 0.5000 0.0000
Cl3 0.5000 0.0000 0.0000

Values from the calculation:
Its raw formation energy is -0.22 eV/atom. Its space group is Pm-3m. The calculated volume comes out at 19.8 A^3/atom.

***

Material: Ta2BeCu
Method: DFT, meta-GGA SCAN
State: single point on PBEsol structure

abc: 3.6604 3.6604 8.4398
angles: 90.00 90.00 90.00
Element x y z (fractional)
Ta1 0.0000 0.0000 0.0000
Ta2 0.0000 0.5000 0.2500
Ta3 0.5000 0.0000 0.7500
Ta4 0.5000 0.5000 0.5000
Be1 0.0000 0.0000 0.5000
Be2 0.5000 0.5000 0.0000
Cu1 0.0000 0.5000 0.7500
Cu2 0.5000 0.0000 0.2500

Values from the calculation:
Its space group is I-4m2. For the formation energy, the calculation gives 0.176 eV/atom. The calculated volume comes out at 14.1 A^3/atom.